An optimized crystal structure of MnPb2Br2O2. Source: Alexandria via LeMat-Bulk, functional GGA+U.

a = 4.233 Å, b = 4.233 Å, c = 17.518 Å
α = 90.00°, β = 90.00°, γ = 90.00°
Space group I4/mmm (No. 139)
Symmetry-distinct sites (fractional):
Mn: 0.000 0.000 0.000 [2 per cell]
Pb: 0.000 0.000 0.405 [4 per cell]
Br: 0.000 0.000 0.169 [4 per cell]
O: 0.000 0.500 0.000 [4 per cell]

Properties
Its crystal system is tetragonal. The value obtained for the energy is -5.1519 eV/atom.